Computed, not measured: an optimized crystal structure of Fe3OF5 at the GGA+U level of DFT.

As for the excess energy over the best structure of this formula in the dataset: 47 meV per atom. For the magnetic moment, the calculation gives 52.0 Bohr magnetons per cell.

The structure belongs to space group C2/m (No. 12); the cell edges are 9.281, 6.885 and 7.484 Å and the angles 90.00°, 111.69° and 90.00°. The distinct sites, in fractional coordinates, are Fe at (0.000, 0.000, 0.000), Fe at (0.000, 0.000, 0.500), Fe at (0.165, 0.500, 0.185), Fe at (0.178, 0.500, 0.652), O at (0.217, 0.000, 0.538), F at (0.000, 0.298, 0.500), F at (0.071, 0.500, 0.870), F at (0.096, 0.000, 0.797) and F at (0.165, 0.208, 0.157).